# AcMnCu2F8 | the Alexandria database | PBE+U | optimized geometry
# * calculated density: 4.70 g/cm3
# * calculated total energy: -5.109 eV per atom
# * M_tot: 0.1606 μB/atom
data_AcMnCu2F8
_chemical_formula_sum 'Ac1 Mn1 Cu2 F8'
_cell_length_a 5.8189
_cell_length_b 5.8189
_cell_length_c 6.7530
_cell_angle_alpha 90.00
_cell_angle_beta 90.00
_cell_angle_gamma 120.00
_symmetry_space_group_name_H-M 'P -3 m 1'
_symmetry_Int_Tables_number 164
_symmetry_space_group_name_Hall '-P 3 2"'
loop_
_atom_site_label
_atom_site_type_symbol
_atom_site_fract_x
_atom_site_fract_y
_atom_site_fract_z
_atom_site_occupancy
Ac1 Ac 0.0000 0.0000 0.0000 1
Mn1 Mn 0.0000 0.0000 0.5000 1
Cu1 Cu 0.3333 0.6667 0.1932 1
F1 F 0.1475 0.2950 0.3068 1
F2 F 0.3333 0.6667 0.9133 1